Entry 1:
VASP calculation (GGA-PBE) on a relaxed Cu2Ag7 crystal.

Polymorph energy (0 for the lowest one) = 0.27 eV/f.u.
E_tot = -26.70 eV/f.u.
Formation energy from the elements = 0.51 eV/f.u.

Cell: 13.174 13.174 13.174 Å, 167.46 162.53 21.56°
Sites, in units of the cell vectors:
Ag 0.883 0.883 0.000
Ag 0.117 0.117 0.000
Ag 0.000 0.000 0.000
Ag 0.675 0.675 0.000
Ag 0.325 0.325 0.000
Ag 0.558 0.558 0.000
Ag 0.442 0.442 0.000
Cu 0.225 0.225 0.000
Cu 0.775 0.775 0.000

---

Entry 2:
VASP calculation (GGA-PBE) on a relaxed Cu3Ag7 crystal.

Polymorph energy (0 for the lowest one) = 0.21 eV/f.u.
E_tot = -30.42 eV/f.u.
Formation energy from the elements = 0.50 eV/f.u.

Cell: 4.958 4.958 11.961 Å, 99.28 99.28 33.76°
Sites, in units of the cell vectors:
Ag 0.411 0.411 0.280
Ag 0.294 0.294 0.608
Ag 0.119 0.119 0.176
Ag 0.706 0.706 0.392
Ag 0.589 0.589 0.720
Ag 0.881 0.881 0.824
Ag 0.000 0.000 0.500
Cu 0.816 0.816 0.079
Cu 0.184 0.184 0.921
Cu 0.500 0.500 0.000

---

Entry 3:
VASP calculation (GGA-PBE) on a relaxed Cu3Ag7 crystal.

Polymorph energy (0 for the lowest one) = 0.36 eV/f.u.
E_tot = -30.27 eV/f.u.
Formation energy from the elements = 0.65 eV/f.u.

Cell: 4.993 4.993 11.819 Å, 98.68 98.68 33.71°
Sites, in units of the cell vectors:
Ag 0.390 0.390 0.812
Ag 0.196 0.196 0.410
Ag 0.317 0.317 0.076
Ag 0.610 0.610 0.188
Ag 0.485 0.485 0.509
Ag 0.099 0.099 0.708
Ag 0.901 0.901 0.295
Cu 0.021 0.021 0.993
Cu 0.795 0.795 0.611
Cu 0.686 0.686 0.899

---

Entry 4:
VASP calculation (GGA-PBE) on a relaxed Cu3Ag2 crystal.

Polymorph energy (0 for the lowest one) = 0.27 eV/f.u.
E_tot = -16.32 eV/f.u.
Formation energy from the elements = 0.48 eV/f.u.

Cell: 3.864 9.870 9.870 Å, 22.34 90.00 90.00°
Sites, in units of the cell vectors:
Ag 0.500 0.902 0.902
Ag 0.500 0.506 0.506
Ag 0.500 0.695 0.695
Ag 0.000 0.798 0.798
Cu 0.000 0.005 0.005
Cu 0.500 0.299 0.299
Cu 0.000 0.600 0.600
Cu 0.500 0.100 0.100
Cu 0.000 0.194 0.194
Cu 0.000 0.402 0.402

---

Entry 5:
VASP calculation (GGA-PBE) on a relaxed Cu4Ag3 crystal.

Polymorph energy (0 for the lowest one) = 0.37 eV/f.u.
E_tot = -22.63 eV/f.u.
Formation energy from the elements = 0.71 eV/f.u.

Cell: 4.736 4.736 4.736 Å, 99.53 99.53 99.53°
Sites, in units of the cell vectors:
Ag 0.852 0.419 0.725
Ag 0.725 0.852 0.419
Ag 0.419 0.725 0.852
Cu 0.020 0.020 0.020
Cu 0.284 0.142 0.557
Cu 0.142 0.557 0.284
Cu 0.557 0.284 0.142

---

Entry 6:
VASP calculation (GGA-PBE) on a relaxed Cu7Ag2 crystal.

Polymorph energy (0 for the lowest one) = 0.42 eV/f.u.
E_tot = -30.83 eV/f.u.
Formation energy from the elements = 0.83 eV/f.u.

Cell: 2.681 2.681 19.214 Å, 90.00 90.00 120.00°
Sites, in units of the cell vectors:
Cu 0.333 0.667 0.237
Cu 0.000 0.000 0.000
Cu 0.000 0.000 0.658
Cu 0.667 0.333 0.763
Cu 0.000 0.000 0.342
Cu 0.667 0.333 0.447
Cu 0.333 0.667 0.553
Ag 0.667 0.333 0.118
Ag 0.333 0.667 0.882

---

Number 1: calculated volume 16.556 A^3/atom. Number 2: calculated volume 16.105 A^3/atom. Number 3: calculated volume 16.144 A^3/atom. Number 4: calculated volume 14.303 A^3/atom. Number 5: calculated volume 14.468 A^3/atom. Number 6: calculated volume 13.291 A^3/atom.